Tl2TeSe after structural relaxation, computed with PBE.

Unit cell a=4.319 b=4.319 c=6.866 alpha=90.00 beta=90.00 gamma=90.00
Sites, in units of the cell vectors:
Tl: 0.000 0.000 0.000
Tl: 0.500 0.500 0.432
Te: 0.000 0.000 0.516
Se: 0.500 0.500 0.013

Properties
The calculation puts the formation energy without anion corrections at -0.198 eV/atom. As for the calculated total energy: -3.04 eV/atom. As for the theoretical density: 7.98 g/cm³. As for the crystal system: tetragonal. The space group is P4mm, No. 99. The density of states at the Fermi level comes out at 1.7 states/eV/f.u.